Compound: TcHg2Pt
Source: Alexandria
Functional: PBE
Structure: relaxed

abc: 5.701 5.250 2.819
angles: 88.35 76.47 116.96
Positions (direct):
1 Hg 0.000 0.000 0.000
2 Hg 0.000 0.500 0.500
3 Pt 0.500 0.500 0.000
4 Tc 0.500 0.000 0.500

Calculated values
ΔH_f (0 K), meV/atom: 474
N(E_F), states/eV/atom: 0.979
Size of the total moment, μB/cell: 0.00
Energy above the most stable polymorph in this dataset, meV/atom: 270

Compound: MoAs2Ir
Source: Alexandria
Functional: PBE
Structure: relaxed

abc: 4.518 4.518 4.518
angles: 60.00 60.00 60.00
Positions (direct):
1 Mo 0.750 0.750 0.750
2 Ir 0.500 0.500 0.500
3 As 0.000 0.000 0.000
4 As 0.250 0.250 0.250

Calculated values
ΔH_f (0 K), meV/atom: 463
N(E_F), states/eV/atom: 1.407
Size of the total moment, μB/cell: 0.00
Energy above the most stable polymorph in this dataset, meV/atom: 506

Compound: ScHgAu3
Source: Alexandria
Functional: PBE
Structure: relaxed

abc: 5.138 5.138 5.138
angles: 90.00 90.00 90.00
Site moments in Bohr magnetons follow the coordinates.
Positions (direct):
1 Sc 0.500 0.500 0.500  0.23
2 Au 0.000 0.500 0.000  0.00
3 Au 0.000 0.000 0.500  0.00
4 Au 0.500 0.000 0.000  0.00
5 Hg 0.000 0.000 0.000  0.00

Calculated values
ΔH_f (0 K), meV/atom: 508
N(E_F), states/eV/atom: 0.913
Size of the total moment, μB/cell: 0.34
Energy above the most stable polymorph in this dataset, meV/atom: 179